# 1
# Pa2HgBi (PBE, relaxed)
data_Pa2HgBi
_chemical_formula_sum 'Pa2 Hg1 Bi1'
_cell_length_a 4.6053
_cell_length_b 4.7784
_cell_length_c 4.7784
_cell_angle_alpha 90.00
_cell_angle_beta 90.00
_cell_angle_gamma 90.00
_space_group_name_H-M_alt 'P 1'
_space_group_IT_number 1
_space_group_name_Hall 'P 1'
loop_
_atom_site_label
_atom_site_fract_x
_atom_site_fract_y
_atom_site_fract_z
_atom_site_occupancy
Pa1 0.0000 0.5000 0.0000 1
Pa2 0.0000 0.0000 0.5000 1
Hg1 0.5000 0.5000 0.5000 1
Bi1 0.5000 0.0000 0.0000 1
# - Energy of formation from the pure elements: 0.0601 eV/atom
# - Spin magnetization: 1.9 μB/cell
# - Raw total energy: -5.73 eV/atom
# - Energy above the lowest structure with this stoichiometry: 0.000 eV/atom
# - Mass density: 13.76 g/cm³


# 2
# Pa2HgBi9 (PBE, relaxed)
data_Pa2HgBi9
_chemical_formula_sum 'Pa2 Hg1 Bi9'
_cell_length_a 4.7865
_cell_length_b 4.7865
_cell_length_c 15.5227
_cell_angle_alpha 90.00
_cell_angle_beta 90.00
_cell_angle_gamma 90.00
_space_group_name_H-M_alt 'P 1'
_space_group_IT_number 1
_space_group_name_Hall 'P 1'
loop_
_atom_site_label
_atom_site_fract_x
_atom_site_fract_y
_atom_site_fract_z
_atom_site_occupancy
Hg1 0.0000 0.0000 0.0000 1
Bi1 0.5000 0.0000 0.5000 1
Bi2 0.5000 0.0000 0.8281 1
Bi3 0.5000 0.0000 0.1719 1
Bi4 0.5000 0.5000 0.3333 1
Bi5 0.5000 0.5000 0.6667 1
Bi6 0.5000 0.5000 0.0000 1
Bi7 0.0000 0.5000 0.1719 1
Bi8 0.0000 0.5000 0.8281 1
Bi9 0.0000 0.5000 0.5000 1
Pa1 0.0000 0.0000 0.6601 1
Pa2 0.0000 0.0000 0.3399 1
# - Energy of formation from the pure elements: -0.0479 eV/atom
# - Spin magnetization: 0.0 μB/cell
# - Raw total energy: -4.57 eV/atom
# - Mass density: 11.88 g/cm³


# 3
# Pa2HgBi3 (PBE, relaxed)
data_Pa2HgBi3
_chemical_formula_sum 'Pa2 Hg1 Bi3'
_cell_length_a 4.4550
_cell_length_b 4.4550
_cell_length_c 8.7789
_cell_angle_alpha 90.00
_cell_angle_beta 90.00
_cell_angle_gamma 90.00
_space_group_name_H-M_alt 'P 1'
_space_group_IT_number 1
_space_group_name_Hall 'P 1'
loop_
_atom_site_label
_atom_site_fract_x
_atom_site_fract_y
_atom_site_fract_z
_atom_site_occupancy
Pa1 0.5000 0.0000 0.7206 1
Pa2 0.0000 0.5000 0.2794 1
Bi1 0.0000 0.0000 0.0000 1
Bi2 0.5000 0.0000 0.3514 1
Bi3 0.0000 0.5000 0.6486 1
Hg1 0.5000 0.5000 0.0000 1
# - Energy of formation from the pure elements: -0.1319 eV/atom
# - Spin magnetization: 0.8 μB/cell
# - Raw total energy: -5.29 eV/atom
# - Mass density: 12.29 g/cm³


# 4
# Pa2HgBi (PBE, relaxed)
data_Pa2HgBi
_chemical_formula_sum 'Pa2 Hg1 Bi1'
_cell_length_a 3.5567
_cell_length_b 3.5567
_cell_length_c 8.3294
_cell_angle_alpha 90.00
_cell_angle_beta 90.00
_cell_angle_gamma 90.00
_space_group_name_H-M_alt 'P 1'
_space_group_IT_number 1
_space_group_name_Hall 'P 1'
loop_
_atom_site_label
_atom_site_fract_x
_atom_site_fract_y
_atom_site_fract_z
_atom_site_occupancy
Pa1 0.0000 0.0000 0.2486 1
Pa2 0.0000 0.0000 0.7514 1
Hg1 0.5000 0.5000 0.5000 1
Bi1 0.5000 0.5000 0.0000 1
# - Energy of formation from the pure elements: 0.1085 eV/atom
# - Spin magnetization: 0.3 μB/cell
# - Raw total energy: -5.69 eV/atom
# - Energy above the lowest structure with this stoichiometry: 0.048 eV/atom
# - Mass density: 13.74 g/cm³


# 5
# PaHgBiPb (PBE, relaxed)
data_PaHgBiPb
_chemical_formula_sum 'Pa1 Hg1 Bi1 Pb1'
_cell_length_a 4.8425
_cell_length_b 4.4269
_cell_length_c 5.0025
_cell_angle_alpha 90.00
_cell_angle_beta 90.00
_cell_angle_gamma 90.00
_space_group_name_H-M_alt 'P 1'
_space_group_IT_number 1
_space_group_name_Hall 'P 1'
loop_
_atom_site_label
_atom_site_fract_x
_atom_site_fract_y
_atom_site_fract_z
_atom_site_occupancy
Bi1 0.5000 0.0000 0.5000 1
Hg1 0.5000 0.5000 0.0000 1
Pa1 0.0000 0.5000 0.5000 1
Pb1 0.0000 0.0000 0.0000 1
# - Energy of formation from the pure elements: -0.0891 eV/atom
# - Spin magnetization: 0.0 μB/cell
# - Raw total energy: -4.44 eV/atom
# - Energy above the lowest structure with this stoichiometry: 0.000 eV/atom
# - Mass density: 13.13 g/cm³


# 6
# PaHgBiPb (PBE, relaxed)
data_PaHgBiPb
_chemical_formula_sum 'Pa1 Hg1 Bi1 Pb1'
_cell_length_a 5.4174
_cell_length_b 5.4174
_cell_length_c 5.4174
_cell_angle_alpha 60.00
_cell_angle_beta 60.00
_cell_angle_gamma 60.00
_space_group_name_H-M_alt 'P 1'
_space_group_IT_number 1
_space_group_name_Hall 'P 1'
loop_
_atom_site_label
_atom_site_fract_x
_atom_site_fract_y
_atom_site_fract_z
_atom_site_occupancy
Pb1 0.2500 0.2500 0.2500 1
Bi1 0.5000 0.5000 0.5000 1
Pa1 0.7500 0.7500 0.7500 1
Hg1 0.0000 0.0000 0.0000 1
# - Energy of formation from the pure elements: 0.1244 eV/atom
# - Spin magnetization: 0.3 μB/cell
# - Raw total energy: -4.22 eV/atom
# - Energy above the lowest structure with this stoichiometry: 0.213 eV/atom
# - Mass density: 12.52 g/cm³


Question: The highest spin magnetization belongs to which entry?
Answer: number 1


Question: Which of these has the lowest energy of formation from the pure elements?
Answer: Pa2HgBi3


Question: Which of these has the highest mass density?
Answer: number 1